(1)
! Y3MgCu2 (PBE-GGA, relaxed); values from VASP
! Final energy   -4.3012 eV/atom
! Space group   R-3m, No. 166
&SYSTEM
  ibrav = 0, nat = 6, ntyp = 3
/
ATOMIC_SPECIES
Y 88.91 Y.upf
Cu 63.55 Cu.upf
Mg 24.30 Mg.upf
ATOMIC_POSITIONS angstrom
Y -3.4416 2.7866 1.7511
Y -1.5062 4.5148 -0.1568
Y -0.5773 3.7799 2.8382
Cu -0.5399 1.0829 0.4332
Cu -4.9851 9.9983 3.9994
Mg -2.7625 5.5406 2.2163
CELL_PARAMETERS angstrom
-4.3705 3.5214 -1.2439
-2.5128 2.0517 4.7462
1.3582 5.5081 0.9303

(2)
! Y2MgCu (PBE-GGA, relaxed); values from VASP
! Final energy   -4.6068 eV/atom
! Space group   P6_3/mmc, No. 194
&SYSTEM
  ibrav = 0, nat = 8, ntyp = 3
/
ATOMIC_SPECIES
Mg 24.30 Mg.upf
Cu 63.55 Cu.upf
Y 88.91 Y.upf
ATOMIC_POSITIONS angstrom
Mg -8.3084 0.2571 11.4094
Mg -4.2935 0.2776 2.7540
Cu 0.0000 0.0000 0.0000
Cu -5.3345 -1.2176 7.5265
Y -1.4128 1.8309 1.6804
Y -4.5350 1.1183 6.0855
Y -11.1891 -1.2963 12.4830
Y -8.0669 -0.5837 8.0779
CELL_PARAMETERS angstrom
1.0130 3.2804 1.2486
-2.9459 -0.3107 -2.1382
-10.6690 -2.4351 15.0529

(3)
! Y4Mg8Cu (PBE-GGA, relaxed); values from VASP
! Final energy   -3.2633 eV/atom
! Space group   I4/m, No. 87
&SYSTEM
  ibrav = 0, nat = 13, ntyp = 3
/
ATOMIC_SPECIES
Y 88.91 Y.upf
Mg 24.30 Mg.upf
Cu 63.55 Cu.upf
ATOMIC_POSITIONS angstrom
Y -0.9053 1.8137 2.1989
Y 1.1671 -0.1879 7.8131
Y 2.4327 1.2761 1.1821
Y -2.1710 0.3496 8.8299
Mg 4.4862 -0.7224 8.7889
Mg 3.9168 1.0372 6.2987
Mg 6.2186 -1.0013 6.3099
Mg 1.4694 1.4313 4.5439
Mg -4.2244 2.3481 1.2231
Mg -5.9568 2.6271 3.7021
Mg -1.2076 0.1945 5.4681
Mg -3.6550 0.5886 3.7133
Cu 0.0000 0.0000 0.0000
CELL_PARAMETERS angstrom
10.1465 0.0340 0.0000
-9.6229 3.2174 0.0000
-0.2618 -1.6257 10.0120

(4)
! Y2MgCu2 (PBE-GGA, relaxed); values from VASP
! Final energy   -4.6142 eV/atom
! Space group   Cmcm, No. 63
&SYSTEM
  ibrav = 0, nat = 10, ntyp = 3
/
ATOMIC_SPECIES
Mg 24.30 Mg.upf
Cu 63.55 Cu.upf
Y 88.91 Y.upf
ATOMIC_POSITIONS angstrom
Mg 4.8684 0.0000 5.7082
Mg 2.2419 0.0000 1.9027
Cu 4.8688 0.0000 0.7493
Cu 2.2415 0.0000 4.5548
Cu 2.2415 0.0000 6.8616
Cu 4.8688 0.0000 3.0561
Y 3.5552 -2.4553 3.8055
Y 3.5552 -2.4553 0.0000
Y 3.5552 2.4553 3.8055
Y 3.5552 2.4553 0.0000
CELL_PARAMETERS angstrom
3.5552 -4.1994 0.0000
3.5552 4.1994 0.0000
0.0000 0.0000 7.6109

(5)
! Y4MgCu2 (PBE-GGA, relaxed); values from VASP
! Final energy   -4.9718 eV/atom
! Space group   I4/mmm, No. 139
&SYSTEM
  ibrav = 0, nat = 7, ntyp = 3
/
ATOMIC_SPECIES
Y 88.91 Y.upf
Mg 24.30 Mg.upf
Cu 63.55 Cu.upf
ATOMIC_POSITIONS angstrom
Y 1.5705 -1.5705 3.0681
Y 2.1500 2.1500 0.0000
Y -1.5705 1.5705 3.0681
Y 1.5705 1.5705 3.0681
Mg 0.0000 0.0000 0.0000
Cu 0.0000 3.7205 1.5340
Cu 3.7205 0.0000 1.5340
CELL_PARAMETERS angstrom
-3.7205 3.7205 3.0681
3.7205 -3.7205 3.0681
3.7205 3.7205 -3.0681

(6)
! Y3MgCu (PBE-GGA, relaxed); values from VASP
! Final energy   -4.9840 eV/atom
! Space group   P6_3/mmc, No. 194
&SYSTEM
  ibrav = 0, nat = 10, ntyp = 3
/
ATOMIC_SPECIES
Cu 63.55 Cu.upf
Y 88.91 Y.upf
Mg 24.30 Mg.upf
ATOMIC_POSITIONS angstrom
Cu 0.0000 0.0000 2.6123
Cu 0.0000 0.0000 0.0000
Y 5.6675 -1.2633 1.3062
Y 3.9278 4.2765 3.9185
Y 5.6675 1.2633 3.9185
Y 2.1882 -1.2633 1.3062
Y 3.9278 -4.2765 1.3062
Y 2.1882 1.2633 3.9185
Mg 3.9278 2.2677 1.3062
Mg 3.9278 -2.2677 3.9185
CELL_PARAMETERS angstrom
3.9278 -6.8032 0.0000
3.9278 6.8032 0.0000
0.0000 0.0000 5.2247

(7)
! Y4Mg2Cu (PBE-GGA, relaxed); values from VASP
! Final energy   -4.5221 eV/atom
! Space group   I4/mmm, No. 139
&SYSTEM
  ibrav = 0, nat = 7, ntyp = 3
/
ATOMIC_SPECIES
Cu 63.55 Cu.upf
Mg 24.30 Mg.upf
Y 88.91 Y.upf
ATOMIC_POSITIONS angstrom
Cu 0.0000 0.0000 0.0000
Mg 0.0000 0.0000 9.8281
Mg 0.0000 0.0000 5.9445
Y 0.0000 0.0000 2.7927
Y 2.6329 0.0000 0.0000
Y 0.0000 0.0000 12.9798
Y 0.0000 2.6329 0.0000
CELL_PARAMETERS angstrom
-2.6329 2.6329 7.8863
2.6329 -2.6329 7.8863
2.6329 2.6329 -7.8863

(8)
! Y2MgCu2 (PBE-GGA, relaxed); values from VASP
! Final energy   -4.7830 eV/atom
! Space group   Cmmm, No. 65
&SYSTEM
  ibrav = 0, nat = 5, ntyp = 3
/
ATOMIC_SPECIES
Y 88.91 Y.upf
Cu 63.55 Cu.upf
Mg 24.30 Mg.upf
ATOMIC_POSITIONS angstrom
Y 2.7278 -0.6530 0.7757
Y 1.4473 -4.7151 3.8951
Cu 3.3418 -2.9462 2.4862
Cu 0.8333 -2.4219 2.1845
Mg -0.3264 -1.7441 -0.3213
CELL_PARAMETERS angstrom
-0.6528 -3.4882 -0.6425
3.8632 -0.3750 -1.8894
0.9647 -1.5049 7.2026

(9)
! Y2Mg2Cu (PBE-GGA, relaxed); values from VASP
! Final energy   -4.0839 eV/atom
! Space group   C2/c, No. 15
&SYSTEM
  ibrav = 0, nat = 10, ntyp = 3
/
ATOMIC_SPECIES
Y 88.91 Y.upf
Mg 24.30 Mg.upf
Cu 63.55 Cu.upf
ATOMIC_POSITIONS angstrom
Y -0.4176 11.5328 3.2503
Y 0.4176 2.7364 3.3313
Y -0.4176 1.6681 0.0326
Y 0.4176 12.6010 6.5490
Mg -0.4579 6.0178 4.1782
Mg 0.4579 8.2513 2.4034
Mg -0.4579 9.3195 5.7021
Mg 0.4579 4.9496 0.8795
Cu 1.5470 7.6687 4.9402
Cu -1.5470 6.6004 1.6415
CELL_PARAMETERS angstrom
3.1625 6.0663 -0.0079
-3.1625 6.0663 -0.0079
0.0000 2.1364 6.5974

(10)
! Y2MgCu (PBE-GGA, relaxed); values from VASP
! Final energy   -4.5723 eV/atom
! Space group   P6_3/mmc, No. 194
&SYSTEM
  ibrav = 0, nat = 8, ntyp = 3
/
ATOMIC_SPECIES
Mg 24.30 Mg.upf
Y 88.91 Y.upf
Cu 63.55 Cu.upf
ATOMIC_POSITIONS angstrom
Mg 2.2940 1.3245 2.8322
Mg 2.2940 -1.3245 8.4966
Y 2.2940 1.3245 6.8304
Y 2.2940 -1.3245 4.4984
Y 2.2940 -1.3245 1.1660
Y 2.2940 1.3245 10.1628
Cu 0.0000 0.0000 8.4966
Cu 0.0000 0.0000 2.8322
CELL_PARAMETERS angstrom
2.2940 -3.9734 0.0000
2.2940 3.9734 0.0000
0.0000 0.0000 11.3288

(11)
! Y2Mg2Cu (PBE-GGA, relaxed); values from VASP
! Final energy   -4.1067 eV/atom
! Space group   Cmc2_1, No. 36
&SYSTEM
  ibrav = 0, nat = 10, ntyp = 3
/
ATOMIC_SPECIES
Mg 24.30 Mg.upf
Cu 63.55 Cu.upf
Y 88.91 Y.upf
ATOMIC_POSITIONS angstrom
Mg -7.8370 2.8173 3.2737
Mg -6.3068 4.0192 1.1421
Mg 0.3266 2.2831 -5.1845
Mg 2.3717 1.8326 -7.1705
Cu -1.6741 3.2498 -3.4622
Cu -3.2865 -0.2194 -0.2920
Y -3.6193 2.5672 -1.1070
Y -5.6881 1.0569 1.7268
Y -1.1812 -0.0507 -2.6019
Y -0.3144 5.3167 -5.7754
CELL_PARAMETERS angstrom
3.1220 0.3266 -7.3367
-6.6986 -1.7374 3.9738
-1.8311 5.8758 -0.5176

(12)
! YMg3Cu (PBE-GGA, relaxed); values from VASP
! Final energy   -1.7074 eV/atom
! Space group   Pm-3m, No. 221
&SYSTEM
  ibrav = 0, nat = 5, ntyp = 3
/
ATOMIC_SPECIES
Mg 24.30 Mg.upf
Y 88.91 Y.upf
Cu 63.55 Cu.upf
ATOMIC_POSITIONS angstrom
Mg 0.0000 2.9877 0.0000
Mg 0.0000 0.0000 2.9877
Mg 2.9877 0.0000 0.0000
Y 0.0000 0.0000 0.0000
Cu 2.9877 2.9877 2.9877
CELL_PARAMETERS angstrom
5.9753 0.0000 0.0000
0.0000 5.9753 0.0000
0.0000 0.0000 5.9753

Number 1: calculated formation energy 0.562 eV/atom. Number 2: calculated formation energy 0.048 eV/atom. Number 3: calculated formation energy 0.022 eV/atom. Number 4: calculated formation energy -0.071 eV/atom. Number 5: calculated formation energy 0.120 eV/atom. Number 6: calculated formation energy 0.033 eV/atom. Number 7: calculated formation energy 0.212 eV/atom. Number 8: calculated formation energy -0.240 eV/atom. Number 9: calculated formation energy -0.041 eV/atom. Number 10: calculated formation energy 0.082 eV/atom. Number 11: calculated formation energy -0.064 eV/atom. Number 12: calculated formation energy 1.361 eV/atom.